# HfMgSi2Au

Crystalline HfMgSi2Au at its relaxed geometry (GGA-PBEsol, the Alexandria database).

The space group is P4/mmm (No. 123) and the conventional cell measures 4.9632, 4.9632 and 5.1310 Å, with angles of 90.00, 90.00 and 90.00 degrees. Symmetry generates all atoms from Hf at (0.0000, 0.0000, 0.0000), Mg at (0.5000, 0.5000, 0.5000), Si at (0.0000, 0.5000, 0.0000) and Au at (0.0000, 0.0000, 0.5000).

Its raw formation energy is 660 meV/atom.


# BeCdNi3

Crystalline BeCdNi3 at its relaxed geometry (GGA-PBEsol, the Alexandria database).

The space group is Pm-3m (No. 221) and the conventional cell measures 4.5368, 4.5368 and 4.5368 Å, with angles of 90.00, 90.00 and 90.00 degrees. Symmetry generates all atoms from Be at (0.0000, 0.0000, 0.0000), Cd at (0.5000, 0.5000, 0.5000) and Ni at (0.0000, 0.5000, 0.5000).


# KTl2Br

Crystalline KTl2Br at its relaxed geometry (GGA-PBEsol, the Alexandria database).

The space group is Pmmm (No. 47) and the conventional cell measures 3.7879, 5.7056 and 6.2122 Å, with angles of 90.00, 90.00 and 90.00 degrees. Symmetry generates all atoms from K at (0.0000, 0.0000, 0.0000), Tl at (0.5000, 0.5000, 0.2610) and Br at (0.0000, 0.0000, 0.5000).

Its raw formation energy is -361 meV/atom.


# Cr2NiRh

Crystalline Cr2NiRh at its relaxed geometry (GGA-PBEsol, the Alexandria database).

The space group is I4/mmm (No. 139) and the conventional cell measures 3.5289, 3.5289 and 7.4151 Å, with angles of 90.00, 90.00 and 90.00 degrees. Symmetry generates all atoms from Cr at (0.0000, 0.5000, 0.2500), Ni at (0.0000, 0.0000, 0.0000) and Rh at (0.0000, 0.0000, 0.5000).


E_tot, respectively: -4.867, -2.976, -2.427, -8.697 eV/atom.